No. 1
# Ac2CeHoSe4, relaxed, DFT PBE
# Fermi-level density of states	8.82	states/eV per cell
# formation energy from raw total energies	-1.805	eV/atom
# VASP energy	-5.8879	eV per atom
data_Ac2CeHoSe4
_chemical_formula_sum 'Ac2 Ce1 Ho1 Se4'
_cell_length_a 4.2303
_cell_length_b 7.3853
_cell_length_c 7.5930
_cell_angle_alpha 108.61
_cell_angle_beta 90.00
_cell_angle_gamma 90.00
_space_group_name_H-M_alt 'P 1'
_space_group_IT_number 1
loop_
_space_group_symop_operation_xyz
'x,y,z'
loop_
_atom_site_label
_atom_site_type_symbol
_atom_site_fract_x
_atom_site_fract_y
_atom_site_fract_z
Ce1 Ce 0.5000 0.5000 0.0000
Se1 Se 0.5000 0.2342 0.2229
Se2 Se 0.0000 0.2508 0.7726
Se3 Se 0.5000 0.7658 0.7771
Se4 Se 0.0000 0.7492 0.2274
Ac1 Ac 0.5000 0.0000 0.5000
Ac2 Ac 0.0000 0.5000 0.5000
Ho1 Ho 0.0000 0.0000 0.0000

---

No. 2
# Ac2CeHoSe6, relaxed, DFT PBE
# Fermi-level density of states	4.67	states/eV per cell
# formation energy from raw total energies	-1.889	eV/atom
# VASP energy	-5.8528	eV per atom
data_Ac2CeHoSe6
_chemical_formula_sum 'Ac2 Ce1 Ho1 Se6'
_cell_length_a 7.6358
_cell_length_b 7.6357
_cell_length_c 7.9353
_cell_angle_alpha 61.24
_cell_angle_beta 61.24
_cell_angle_gamma 60.00
_space_group_name_H-M_alt 'P 1'
_space_group_IT_number 1
loop_
_space_group_symop_operation_xyz
'x,y,z'
loop_
_atom_site_label
_atom_site_type_symbol
_atom_site_fract_x
_atom_site_fract_y
_atom_site_fract_z
Ce1 Ce 0.8162 0.8162 0.5514
Se1 Se 0.1916 0.9546 0.2587
Se2 Se 0.4426 0.6848 0.7648
Se3 Se 0.1078 0.4426 0.7648
Se4 Se 0.6848 0.1078 0.7648
Se5 Se 0.5951 0.1916 0.2587
Se6 Se 0.9546 0.5951 0.2587
Ac1 Ac 0.0249 0.0249 0.9252
Ac2 Ac 0.5261 0.5261 0.4216
Ho1 Ho 0.3178 0.3178 0.0466

---

No. 3
# Ac2Ce3HoSe6, relaxed, DFT PBE
# Fermi-level density of states	20.59	states/eV per cell
# formation energy from raw total energies	-1.794	eV/atom
# VASP energy	-6.0861	eV per atom
data_Ac2Ce3HoSe6
_chemical_formula_sum 'Ac2 Ce3 Ho1 Se6'
_cell_length_a 7.4003
_cell_length_b 7.4003
_cell_length_c 7.4173
_cell_angle_alpha 99.62
_cell_angle_beta 99.62
_cell_angle_gamma 120.02
_space_group_name_H-M_alt 'P 1'
_space_group_IT_number 1
loop_
_space_group_symop_operation_xyz
'x,y,z'
loop_
_atom_site_label
_atom_site_type_symbol
_atom_site_fract_x
_atom_site_fract_y
_atom_site_fract_z
Se1 Se 0.4005 0.0836 0.2531
Se2 Se 0.0836 0.4005 0.2531
Se3 Se 0.2289 0.2289 0.7400
Se4 Se 0.7711 0.7711 0.2600
Se5 Se 0.5995 0.9164 0.7469
Se6 Se 0.9164 0.5995 0.7469
Ho1 Ho 0.0000 0.0000 0.0000
Ac1 Ac 0.6655 0.3345 0.0000
Ac2 Ac 0.3345 0.6655 0.0000
Ce1 Ce 0.5000 0.5000 0.5000
Ce2 Ce 0.1731 0.8269 0.5000
Ce3 Ce 0.8269 0.1731 0.5000

---

No. 4
# AcCeSmHo, relaxed, DFT PBE
# DFT formation energy	0.203	eV/atom
# Fermi-level density of states	11.43	states/eV per cell
# VASP energy	-4.6322	eV per atom
data_AcCeSmHo
_chemical_formula_sum 'Ac1 Ce1 Sm1 Ho1'
_cell_length_a 5.8554
_cell_length_b 5.8554
_cell_length_c 5.8554
_cell_angle_alpha 60.00
_cell_angle_beta 60.00
_cell_angle_gamma 60.00
_space_group_name_H-M_alt 'P 1'
_space_group_IT_number 1
loop_
_space_group_symop_operation_xyz
'x,y,z'
loop_
_atom_site_label
_atom_site_type_symbol
_atom_site_fract_x
_atom_site_fract_y
_atom_site_fract_z
Sm1 Sm 0.2500 0.2500 0.2500
Ac1 Ac 0.0000 0.0000 0.0000
Ho1 Ho 0.7500 0.7500 0.7500
Ce1 Ce 0.5000 0.5000 0.5000

---

No. 5
# AcTbCeHo, relaxed, DFT PBE
# DFT formation energy	0.189	eV/atom
# Fermi-level density of states	10.56	states/eV per cell
# VASP energy	-4.6235	eV per atom
data_AcTbCeHo
_chemical_formula_sum 'Ac1 Tb1 Ce1 Ho1'
_cell_length_a 5.8270
_cell_length_b 5.8270
_cell_length_c 5.8270
_cell_angle_alpha 60.00
_cell_angle_beta 60.00
_cell_angle_gamma 60.00
_space_group_name_H-M_alt 'P 1'
_space_group_IT_number 1
loop_
_space_group_symop_operation_xyz
'x,y,z'
loop_
_atom_site_label
_atom_site_type_symbol
_atom_site_fract_x
_atom_site_fract_y
_atom_site_fract_z
Ac1 Ac 0.2500 0.2500 0.2500
Ho1 Ho 0.5000 0.5000 0.5000
Ce1 Ce 0.7500 0.7500 0.7500
Tb1 Tb 0.0000 0.0000 0.0000

---

No. 6
# Ac2Ce3HoTe6, relaxed, DFT PBE
# Fermi-level density of states	24.16	states/eV per cell
# formation energy from raw total energies	-1.374	eV/atom
# VASP energy	-5.4942	eV per atom
data_Ac2Ce3HoTe6
_chemical_formula_sum 'Ac2 Ce3 Ho1 Te6'
_cell_length_a 7.8625
_cell_length_b 7.8625
_cell_length_c 7.9279
_cell_angle_alpha 99.55
_cell_angle_beta 99.55
_cell_angle_gamma 120.04
_space_group_name_H-M_alt 'P 1'
_space_group_IT_number 1
loop_
_space_group_symop_operation_xyz
'x,y,z'
loop_
_atom_site_label
_atom_site_type_symbol
_atom_site_fract_x
_atom_site_fract_y
_atom_site_fract_z
Te1 Te 0.7722 0.7722 0.2615
Te2 Te 0.9174 0.6003 0.7483
Te3 Te 0.0826 0.3997 0.2517
Te4 Te 0.3997 0.0826 0.2517
Te5 Te 0.6003 0.9174 0.7483
Te6 Te 0.2278 0.2278 0.7385
Ho1 Ho 0.0000 0.0000 0.0000
Ac1 Ac 0.3353 0.6647 0.0000
Ac2 Ac 0.6647 0.3353 0.0000
Ce1 Ce 0.8240 0.1760 0.5000
Ce2 Ce 0.1760 0.8240 0.5000
Ce3 Ce 0.5000 0.5000 0.5000